[1]
## Sr2PuAuO6 (PBE)

Data for a relaxed structure of Sr2PuAuO6.

Cell lengths 5.548, 5.727, 6.417 Å; angles 116.51, 115.02, 90.00 degrees
Positions (direct):
Pu 0.000 0.500 0.000
O 0.190 0.162 0.845
Au 0.500 0.000 0.000
Sr 0.790 0.753 0.506
O 0.190 0.683 0.845
O 0.810 0.317 0.155
O 0.702 0.317 0.634
O 0.810 0.838 0.155
Sr 0.210 0.247 0.494
O 0.298 0.683 0.366

Properties
Spin magnetization ... 3.01 μB per formula unit
DFT total energy ... -7.32 eV/atom

[2]
## AcPm2PaAs4 (PBE)

Data for a relaxed structure of AcPm2PaAs4.

Cell lengths 6.043, 6.043, 7.405 Å; angles 114.08, 114.08, 90.00 degrees
Positions (direct):
Pa 0.750 0.250 0.500
Pm 0.000 0.000 0.000
As 0.989 0.489 0.977
As 0.244 0.244 0.488
Pm 0.250 0.750 0.500
As 0.756 0.756 0.512
Ac 0.500 0.500 0.000
As 0.511 0.011 0.023

Properties
Spin magnetization ... 0.10 μB per formula unit
DFT total energy ... -6.56 eV/atom
ΔE_f ... -1345 meV per atom

[3]
## La3Er6Th2 (PBE)

Data for a relaxed structure of La3Er6Th2.

Cell lengths 6.171, 6.175, 11.554 Å; angles 84.83, 79.62, 60.02 degrees
Positions (direct):
Er 0.087 0.332 0.741
La 0.336 0.329 0.000
Er 0.420 0.668 0.741
Er 0.580 0.332 0.259
Er 0.753 0.000 0.742
Er 0.247 0.000 0.258
Th 0.834 0.332 0.500
Th 0.166 0.668 0.500
Er 0.913 0.668 0.259
La 0.000 0.000 0.000
La 0.664 0.671 0.000

Properties
Spin magnetization ... 0.00 μB per formula unit
DFT total energy ... -4.97 eV/atom
ΔE_f ... 214 meV per atom

[4]
## Sm4In (PBE)

Data for a relaxed structure of Sm4In.

Cell lengths 5.331, 6.889, 9.380 Å; angles 111.54, 106.51, 90.00 degrees
Positions (direct):
Sm 0.699 0.709 0.398
Sm 0.500 0.000 0.000
Sm 0.500 0.500 0.000
Sm 0.301 0.812 0.602
In 0.890 0.140 0.779
Sm 0.898 0.648 0.795
Sm 0.699 0.188 0.398
Sm 0.102 0.352 0.205
In 0.110 0.860 0.221
Sm 0.301 0.291 0.602

Properties
Spin magnetization ... 0.00 μB per formula unit
ΔE to the lowest computed polymorph ... 0.0 kJ per mole of atoms
DFT total energy ... -4.45 eV/atom
ΔE_f ... -132 meV per atom

[5]
## Mn2FeNiI (PBE)

Data for a relaxed structure of Mn2FeNiI.

Cell lengths 4.591, 4.682, 4.591 Å; angles 90.00, 90.00, 90.00 degrees
Positions (direct):
Ni 0.500 0.500 0.500
Mn 0.000 0.000 0.500
Fe 0.000 0.000 0.000
Mn 0.500 0.000 0.000
I 0.000 0.500 0.000

Properties
Spin magnetization ... 9.96 μB per formula unit
DFT total energy ... -5.57 eV/atom

[6]
## InPPt2 (PBE)

Data for a relaxed structure of InPPt2.

Cell lengths 4.400, 4.404, 3.464 Å; angles 90.00, 90.00, 90.00 degrees
Positions (direct):
In 0.500 0.000 0.500
P 0.000 0.500 0.500
Pt 0.000 0.000 0.000
Pt 0.500 0.500 0.000

Properties
Spin magnetization ... 0.00 μB per formula unit
ΔE to the lowest computed polymorph ... 27.9 kJ per mole of atoms
DFT total energy ... -5.12 eV/atom
ΔE_f ... -58 meV per atom

[7]
## La3TeMo (PBE)

Data for a relaxed structure of La3TeMo.

Cell lengths 5.487, 5.487, 5.487 Å; angles 90.00, 90.00, 90.00 degrees
Positions (direct):
La 0.000 0.500 0.000
Te 0.500 0.500 0.500
Mo 0.000 0.000 0.000
La 0.000 0.000 0.500
La 0.500 0.000 0.000

Properties
Spin magnetization ... 0.00 μB per formula unit
ΔE to the lowest computed polymorph ... 0.0 kJ per mole of atoms
DFT total energy ... -5.97 eV/atom

[8]
## SrInH8Ir2 (PBE)

Data for a relaxed structure of SrInH8Ir2.

Cell lengths 5.018, 5.018, 8.129 Å; angles 110.81, 110.81, 51.00 degrees
Positions (direct):
Sr 0.000 0.000 0.500
H 0.255 0.496 0.188
H 0.639 0.639 0.431
H 0.257 0.257 0.782
H 0.361 0.361 0.569
In 0.000 0.000 0.000
H 0.743 0.743 0.218
Ir 0.442 0.442 0.790
Ir 0.558 0.558 0.210
H 0.745 0.504 0.812
H 0.504 0.745 0.812
H 0.496 0.255 0.188

Properties
Spin magnetization ... 0.00 μB per formula unit
DFT total energy ... -4.25 eV/atom

[9]
## Ca2Ac5Pr5 (PBE)

Data for a relaxed structure of Ca2Ac5Pr5.

Cell lengths 5.485, 8.520, 11.623 Å; angles 72.47, 76.35, 71.22 degrees
Positions (direct):
Ac 0.249 0.749 0.754
Ac 0.836 0.831 0.497
Pr 0.585 0.077 0.752
Ac 0.164 0.169 0.503
Ca 0.917 0.412 0.755
Ac 0.751 0.251 0.246
Ca 0.083 0.588 0.245
Pr 0.500 0.500 0.500
Ac 0.000 0.000 0.000
Pr 0.333 0.331 0.003
Pr 0.415 0.923 0.248
Pr 0.667 0.669 0.997

Properties
Spin magnetization ... 0.00 μB per formula unit
DFT total energy ... -4.00 eV/atom
ΔE_f ... 40 meV per atom

[10]
## K2SrRu (PBE)

Data for a relaxed structure of K2SrRu.

Cell lengths 5.900, 5.900, 5.900 Å; angles 60.00, 60.00, 60.00 degrees
Positions (direct):
Ru 0.500 0.500 0.500
K 0.750 0.750 0.750
Sr 0.000 0.000 0.000
K 0.250 0.250 0.250

Properties
Spin magnetization ... 1.63 μB per formula unit
ΔE to the lowest computed polymorph ... 41.3 kJ per mole of atoms
DFT total energy ... -2.22 eV/atom
ΔE_f ... 1069 meV per atom

[11]
## LiZr2Ag2S6 (PBE)

Data for a relaxed structure of LiZr2Ag2S6.

Cell lengths 6.423, 6.423, 8.453 Å; angles 109.57, 109.57, 118.44 degrees
Positions (direct):
Ag 0.162 0.838 0.000
S 0.855 0.855 0.718
S 0.202 0.540 0.730
Zr 0.676 0.324 0.500
Li 0.000 0.000 0.500
Ag 0.838 0.162 0.000
Zr 0.324 0.676 0.500
S 0.460 0.798 0.270
S 0.145 0.145 0.282
S 0.798 0.460 0.270
S 0.540 0.202 0.730

Properties
Spin magnetization ... 0.00 μB per formula unit
DFT total energy ... -5.46 eV/atom

[12]
## InTeS2N (PBE)

Data for a relaxed structure of InTeS2N.

Cell lengths 5.170, 5.170, 3.961 Å; angles 90.00, 90.00, 90.00 degrees
Positions (direct):
S 0.500 0.000 0.000
S 0.000 0.500 0.000
N 0.000 0.000 0.500
Te 0.000 0.000 0.000
In 0.500 0.500 0.500

Properties
Spin magnetization ... 0.00 μB per formula unit
ΔE to the lowest computed polymorph ... 0.0 kJ per mole of atoms
DFT total energy ... -3.79 eV/atom

[13]
## CdGeI2O (PBE)

Data for a relaxed structure of CdGeI2O.

Cell lengths 5.947, 5.947, 3.798 Å; angles 90.00, 90.00, 90.00 degrees
Positions (direct):
Ge 0.000 0.000 0.000
I 0.500 0.000 0.000
I 0.000 0.500 0.000
Cd 0.500 0.500 0.500
O 0.000 0.000 0.500

Properties
Spin magnetization ... 0.00 μB per formula unit
ΔE to the lowest computed polymorph ... 0.0 kJ per mole of atoms
DFT total energy ... -2.99 eV/atom

[14]
## Li3Mg11 (PBE)

Data for a relaxed structure of Li3Mg11.

Cell lengths 4.961, 8.763, 8.763 Å; angles 107.23, 73.56, 73.56 degrees
Positions (direct):
Mg 0.000 0.500 0.500
Mg 0.326 0.073 0.275
Mg 0.839 0.376 0.947
Li 0.314 0.686 0.686
Mg 0.500 0.680 0.320
Li 0.686 0.314 0.314
Mg 0.500 0.320 0.680
Mg 0.161 0.053 0.624
Mg 0.326 0.275 0.073
Li 0.000 0.000 0.000
Mg 0.839 0.947 0.376
Mg 0.674 0.927 0.725
Mg 0.161 0.624 0.053
Mg 0.674 0.725 0.927

Properties
Spin magnetization ... 0.00 μB per formula unit
DFT total energy ... -1.62 eV/atom
ΔE_f ... 47 meV per atom

[15]
## ScCo4Ag (PBE)

Data for a relaxed structure of ScCo4Ag.

Cell lengths 4.860, 4.860, 4.860 Å; angles 60.00, 60.00, 60.00 degrees
Positions (direct):
Sc 0.750 0.750 0.750
Co 0.875 0.375 0.375
Co 0.375 0.875 0.375
Co 0.375 0.375 0.375
Co 0.375 0.375 0.875
Ag 0.000 0.000 0.000

Properties
Spin magnetization ... 5.71 μB per formula unit
DFT total energy ... -6.37 eV/atom
ΔE_f ... -99 meV per atom